Mn2AlTlO (PBE with a Hubbard U, relaxed); total magnetic moment = 9.0 Bohr magnetons per cell; E = -5.48 eV/atom
1.0
4.8726 0.0000 0.0000
0.0000 3.6727 0.0000
0.0000 0.0000 4.8726
Al Tl Mn O
1 1 2 1
Cartesian
0.0000 1.8363 0.0000
2.4363 1.8363 2.4363
2.4363 0.0000 0.0000
0.0000 0.0000 2.4363
0.0000 0.0000 0.0000